(1)
Here is a relaxed Rb2CdHgO crystal from Alexandria. Energies are from PBE.

Calculated values
* uncorrected energy: -2.122 eV/atom
* energy relative to the elements, uncorrected: -0.5002 eV/atom
* DOS at the Fermi energy: 0.38 states/eV/atom
* polymorph energy (0 for the lowest one): 0.000 eV/atom

Cell: 6.0113 6.0113 4.5723 Å, 90.00 90.00 90.00°
Last column: nearest neighbours and their distance in Å.
Positions (direct):
O1 0.0000 0.0000 0.0000  2 Cd 2.29
Hg1 0.5000 0.5000 0.5000  8 Rb 3.78
Rb1 0.0000 0.5000 0.0000  2 O 3.01
Rb2 0.5000 0.0000 0.0000  2 O 3.01
Cd1 0.0000 0.0000 0.5000  2 O 2.29



(2)
Here is a relaxed RbCd2HgO crystal from Alexandria. Energies are from PBE.

Calculated values
* uncorrected energy: -1.872 eV/atom
* energy relative to the elements, uncorrected: -0.2602 eV/atom
* DOS at the Fermi energy: 0.63 states/eV/atom

Cell: 4.8063 5.6936 4.8063 Å, 90.00 90.00 90.00°
Last column: nearest neighbours and their distance in Å.
Positions (direct):
O1 0.0000 0.0000 0.0000  4 Cd 2.40
Hg1 0.5000 0.5000 0.5000  4 Rb 3.40, 8 Cd 3.73
Rb1 0.0000 0.5000 0.0000  2 O 2.85
Cd1 0.0000 0.0000 0.5000  2 O 2.40
Cd2 0.5000 0.0000 0.0000  2 O 2.40